A relaxed structure of Al2CuHg, computed with PBE.

Lattice parameters (Å, degrees): 3.365 4.533 4.556 90.00 90.00 90.00
Fractional positions:
Al1 0.500 0.500 0.000
Al2 0.000 0.000 0.000
Cu1 0.500 0.000 0.500
Hg1 0.000 0.500 0.500

Computed properties:
Calculated volume = 17.4 Å³/atom
Mass density = 7.6 Mg/m³
DOS at the Fermi energy = 1.251 states/eV/f.u.
Final energy = -0.2030 Ry per atom
Symmetry = Pmmm
Formation enthalpy at 0 K = 0.21 eV/atom